1.
A plane-wave DFT calculation with PBEsol was carried out for a relaxed LaY2Cl crystal.

Calculated values
Electronic total energy, eV/f.u.: -20.600
Formation energy without anion corrections, meV per atom: 100
E above lowest polymorph, eV per formula unit: 1.34

```
data_LaY2Cl
_cell_length_a 7.687
_cell_length_b 7.687
_cell_length_c 7.687
_cell_angle_alpha 90.00
_cell_angle_beta 90.00
_cell_angle_gamma 90.00
_space_group_name_H-M_alt 'F m -3 m'
_space_group_IT_number 225
_space_group_name_Hall '-F 4 2 3'
loop_
_atom_site_label
_atom_site_fract_x
_atom_site_fract_y
_atom_site_fract_z
La1 0.000 0.000 0.000
Y1 0.250 0.250 0.250
Cl1 0.000 0.000 0.500
```



2.
A plane-wave DFT calculation with PBEsol was carried out for a relaxed BeAsIr2 crystal.

Calculated values
Electronic total energy, eV/f.u.: -28.281
Energy relative to the elements, eV per atom: 0.12
E above lowest polymorph, eV per formula unit: 0.92

```
data_BeAsIr2
_cell_length_a 5.572
_cell_length_b 7.996
_cell_length_c 2.836
_cell_angle_alpha 90.00
_cell_angle_beta 120.03
_cell_angle_gamma 90.00
_space_group_name_H-M_alt 'C 1 2/m 1'
_space_group_IT_number 12
_space_group_name_Hall '-C 2y'
loop_
_atom_site_label
_atom_site_fract_x
_atom_site_fract_y
_atom_site_fract_z
Be1 0.000 0.000 0.000
As1 0.000 0.500 0.000
Ir1 0.250 0.250 0.000
```